(1)
Computed, not measured: crystalline BeAl2W at its relaxed geometry at the PBE-GGA level of DFT.

Its formation energy is 0.092 eV per atom.

The space group is P2/m (No. 10) and the conventional cell measures 2.671, 4.294 and 4.952 Å, with angles of 90.00, 97.66 and 90.00 degrees. The inequivalent atoms are Be at (0.000, 0.000, 0.000), Al at (0.134, 0.500, 0.757) and W at (0.500, 0.000, 0.500).

***

(2)
Computed, not measured: crystalline Er2Si3 at its relaxed geometry at the PBE-GGA level of DFT.

For the energy relative to the elements, uncorrected, the calculation gives -3.4 eV per formula unit.

The space group is Immm (No. 71) and the conventional cell measures 3.885, 5.895 and 8.414 Å, with angles of 90.00, 90.00 and 90.00 degrees. The inequivalent atoms are Er at (0.000, 0.000, 0.221), Si at (0.000, 0.294, 0.500) and Si at (0.000, 0.500, 0.000).

***

(3)
Computed, not measured: crystalline La3Ag2Hg at its relaxed geometry at the PBE-GGA level of DFT.

Its formation energy is -0.341 eV per atom.

The space group is P4/mmm (No. 123) and the conventional cell measures 3.872, 3.872 and 11.455 Å, with angles of 90.00, 90.00 and 90.00 degrees. The inequivalent atoms are La at (0.000, 0.000, 0.000), La at (0.000, 0.000, 0.329), Ag at (0.500, 0.500, 0.162) and Hg at (0.500, 0.500, 0.500).

***

(4)
Computed, not measured: crystalline Li8PbAu2 at its relaxed geometry at the PBE-GGA level of DFT.

Its formation energy is -0.366 eV per atom.

The space group is Immm (No. 71) and the conventional cell measures 4.446, 7.085 and 12.287 Å, with angles of 90.00, 90.00 and 90.00 degrees. The inequivalent atoms are Li at (0.000, 0.000, 0.153), Li at (0.000, 0.207, 0.344), Li at (0.000, 0.308, 0.000), Pb at (0.000, 0.500, 0.500) and Au at (0.000, 0.500, 0.200).

***

(5)
Computed, not measured: crystalline LiLa2SbH at its relaxed geometry at the PBE-GGA level of DFT.

The space group is P4/mmm (No. 123) and the conventional cell measures 5.021, 5.021 and 4.503 Å, with angles of 90.00, 90.00 and 90.00 degrees. The inequivalent atoms are Li at (0.000, 0.000, 0.000), La at (0.000, 0.500, 0.500), Sb at (0.500, 0.500, 0.000) and H at (0.000, 0.000, 0.500).

***

(6)
Computed, not measured: crystalline Hg2PbCl at its relaxed geometry at the PBE-GGA level of DFT.

For the energy relative to the elements, uncorrected, the calculation gives -0.6 eV per formula unit.

The space group is F-43m (No. 216) and the conventional cell measures 7.593, 7.593 and 7.593 Å, with angles of 90.00, 90.00 and 90.00 degrees. The inequivalent atoms are Hg at (0.000, 0.000, 0.000), Hg at (0.250, 0.250, 0.250), Pb at (0.250, 0.250, 0.750) and Cl at (0.000, 0.000, 0.500).

***

| no. | raw total energy (eV per atom) |
| --- | --- |
| 1 | -5.95 |
| 2 | -5.76 |
| 3 | -3.81 |
| 4 | -2.69 |
| 5 | -4.51 |
| 6 | -1.70 |